PBEsol Ta3ZnBr, optimized geometry; total magnetization = 0.0 μB per cell; E_form (uncorrected) = 148.04 kJ/mol of atoms; SG = No. 221; volume = 20.2 A^3/atom; total DFT energy (no corrections) = -6.69 eV per atom
1.0
4.659 0.000 0.000
0.000 4.659 0.000
0.000 0.000 4.659
Ta Zn Br
3 1 1
Cartesian
0.000 0.000 2.330
0.000 2.330 0.000
2.330 0.000 0.000
2.330 2.330 2.330
0.000 0.000 0.000